[1]
BaSrLi2Cu | Alexandria | PBE | relaxed; energy of formation = 0.156 eV/atom; N(E_F) = 5.44 states/eV/f.u.; V = 168.28 Å³/f.u.; electronic total energy = -2.150 eV per atom; space group = P4/mmm; distance to the lowest polymorph of the same formula = 0.000 eV per formula unit
1.0
5.444 0.000 0.000
0.000 5.444 0.000
0.000 0.000 5.678
Sr Cu Li Ba
1 1 2 1
direct
0.000 0.000 0.500
0.000 0.000 0.000
0.500 0.000 0.000
0.000 0.500 0.000
0.500 0.500 0.500

---

[2]
Ba2SrLiCu | Alexandria | PBE | relaxed; energy of formation = 0.287 eV/atom; N(E_F) = 6.25 states/eV/f.u.; V = 210.03 Å³/f.u.; electronic total energy = -2.021 eV per atom; space group = P4/mmm; distance to the lowest polymorph of the same formula = 1.090 eV per formula unit
1.0
6.656 0.000 0.000
0.000 4.741 0.000
0.000 0.000 6.656
Ba Li Sr Cu
2 1 1 1
direct
0.000 0.000 0.500
0.500 0.000 0.000
0.000 0.000 0.000
0.500 0.500 0.500
0.000 0.500 0.000

---

[3]
BaSrLiCu | Alexandria | PBE | relaxed; energy of formation = 0.000 eV/atom; N(E_F) = 2.04 states/eV/f.u.; V = 146.83 Å³/f.u.; electronic total energy = -2.403 eV per atom; space group = R3m; distance to the lowest polymorph of the same formula = 0.000 eV per formula unit
1.0
4.555 -0.017 -0.006
-2.266 3.951 0.006
-2.267 -1.314 8.178
Ba Cu Sr Li
1 1 1 1
direct
0.355 0.042 0.398
0.502 0.616 0.118
0.999 0.864 0.863
0.835 0.282 0.117

---

[4]
BaSrLiCu | Alexandria | PBE | relaxed; energy of formation = 0.080 eV/atom; N(E_F) = 4.51 states/eV/f.u.; V = 132.97 Å³/f.u.; electronic total energy = -2.323 eV per atom; space group = F-43m; distance to the lowest polymorph of the same formula = 0.320 eV per formula unit
1.0
5.729 0.000 0.000
2.865 4.962 0.000
2.865 1.654 4.678
Li Sr Cu Ba
1 1 1 1
direct
0.750 0.750 0.750
0.500 0.500 0.500
0.250 0.250 0.250
0.000 0.000 0.000

---

> Among the records above, which one has the highest V?

Ba2SrLiCu